Record 1
A relaxed Pm4AlI5 crystal, computed with PBE.

Structure (extended XYZ):
```
10
Lattice="4.2948 0.0000 0.0000 0.0000 9.1230 0.1328 -2.1474 -2.2773 9.5797" Properties=species:S:1:pos:R:3 pbc="T T T"
I 2.1474 4.5295 6.4685
I 2.1474 4.5615 0.0664
Pm 0.0000 6.8326 6.8275
I 0.0000 6.7753 3.4082
Pm 2.1474 0.0131 2.8850
Pm 0.0000 2.0442 0.0313
Al 2.1474 0.0000 0.0000
I 0.0000 2.3162 3.2441
Pm 2.1474 4.8015 9.6813
I 2.1474 0.0704 6.3043
```

## Properties
Calculated volume in Å³ per atom: 37.66
Total energy in eV/atom: -4.123
Uncorrected formation energy in eV per atom: -1.07

=====

Record 2
A relaxed Zr3HCl crystal, computed with PBE.

Structure (extended XYZ):
```
5
Lattice="4.4574 0.0000 0.0000 0.0000 4.4574 0.0000 0.0000 0.0000 4.4574" Properties=species:S:1:pos:R:3 pbc="T T T"
Zr 0.0000 2.2287 0.0000
Zr 2.2287 0.0000 0.0000
Cl 2.2287 2.2287 2.2287
Zr 0.0000 0.0000 2.2287
H 0.0000 0.0000 0.0000
```

## Properties
Calculated volume in Å³ per atom: 17.71
Total energy in eV/atom: -6.132
Energy relative to the lowest polymorph listed for this composition in meV per atom: 0.0

=====

Record 3
A relaxed ZrScZnAu crystal, computed with PBE.

Structure (extended XYZ):
```
4
Lattice="3.3827 0.0000 0.0000 0.0000 3.3827 0.0000 0.0000 0.0000 6.7440" Properties=species:S:1:pos:R:3 pbc="T T T"
Zr 1.6914 1.6914 0.7805
Au 0.0000 0.0000 5.6998
Zn 0.0000 0.0000 2.4470
Sc 1.6914 1.6914 4.0749
```

## Properties
Calculated volume in Å³ per atom: 19.29
Total energy in eV/atom: -5.334
Calculated formation energy in eV per atom: -0.477

=====

Record 4
A relaxed TbLu2Tc crystal, computed with PBE.

Structure (extended XYZ):
```
4
Lattice="3.4470 0.0000 0.0000 0.0000 3.4470 0.0000 0.0000 0.0000 8.3558" Properties=species:S:1:pos:R:3 pbc="T T T"
Tc 1.7235 1.7235 0.0000
Lu 0.0000 0.0000 6.7898
Lu 0.0000 0.0000 1.5660
Tb 1.7235 1.7235 4.1779
```

## Properties
Calculated volume in Å³ per atom: 24.82
Total energy in eV/atom: -6.055
Calculated formation energy in eV per atom: -0.045
Energy relative to the lowest polymorph listed for this composition in meV per atom: 0.0

=====

Record 5
A relaxed Dy3HgAu crystal, computed with PBE.

Structure (extended XYZ):
```
10
Lattice="3.7944 -0.0005 -0.0008 0.0013 9.2477 0.4556 0.0022 3.6425 8.5170" Properties=species:S:1:pos:R:3 pbc="T T T"
Dy 3.2751 8.7909 4.1021
Dy 3.2741 5.8346 0.7256
Dy 1.3798 4.7167 3.5964
Dy 1.3788 0.6817 0.7854
Hg 3.2769 2.6956 2.1923
Hg 1.3810 9.1359 6.6719
Dy 3.2797 6.6098 7.2365
Au 1.3825 4.5101 6.4481
Dy 3.2789 2.4153 5.6467
Au 1.3771 7.3182 2.4089
```

## Properties
Calculated volume in Å³ per atom: 29.26
Total energy in eV/atom: -3.838
Calculated formation energy in eV per atom: -0.361
Energy relative to the lowest polymorph listed for this composition in meV per atom: 145.3

=====

Record 6
A relaxed ZnHgW2 crystal, computed with PBE.

Structure (extended XYZ):
```
4
Lattice="2.7516 0.0000 0.0000 0.0000 2.7516 0.0000 0.0000 0.0000 8.8209" Properties=species:S:1:pos:R:3 pbc="T T T"
W 0.0000 0.0000 4.2571
W 0.0000 0.0000 0.1534
Hg 1.3758 1.3758 6.6157
Zn 1.3758 1.3758 2.2052
```

## Properties
Calculated volume in Å³ per atom: 16.70
Total energy in eV/atom: -6.237
Calculated formation energy in eV per atom: 0.634
Energy relative to the lowest polymorph listed for this composition in meV per atom: 256.2

=====

Record 7
A relaxed MnNbCo crystal, computed with PBE.

Structure (extended XYZ):
```
6
Lattice="-4.4074 0.1855 1.9096 0.5039 0.2108 -4.7758 2.5932 -4.0474 0.0274" Properties=species:S:1:pos:R:3 pbc="T T T"
Co -0.9071 -1.9310 0.9685
Mn 0.2519 0.1054 -2.3879
Nb -2.5484 -0.1726 -2.7311
Co 1.5485 -1.9183 -2.3742
Nb 1.2380 -3.4785 -0.1077
Mn -0.6552 -1.8256 -1.4194
```

## Properties
Calculated volume in Å³ per atom: 12.99
Total energy in eV/atom: -8.944
Calculated formation energy in eV per atom: -0.163
Energy relative to the lowest polymorph listed for this composition in meV per atom: 0.0

=====

Record 8
A relaxed Cs4K5Na crystal, computed with PBE.

Structure (extended XYZ):
```
10
Lattice="-1.1792 -7.3607 3.1686 8.7686 -6.6097 -1.7379 3.5753 -0.5032 10.5148" Properties=species:S:1:pos:R:3 pbc="T T T"
K 2.0958 -1.8557 7.4826
K 8.9937 -13.0873 4.6649
Cs 6.5429 -8.8206 3.7607
Cs 3.4791 -4.0047 3.4548
K 9.0218 -6.3274 10.0255
Cs 7.5592 -11.2579 8.8303
K 2.0677 -8.6156 2.1220
K -0.3981 -2.4850 1.0697
Na -0.9553 -5.9633 2.5670
Cs 4.4954 -6.4420 8.5244
```

## Properties
Calculated volume in Å³ per atom: 86.83
Total energy in eV/atom: -1.002
Calculated formation energy in eV per atom: 0.020